# Pr2CoGe4Ir3 GGA-PBE relaxed
data_Pr2CoGe4Ir3
_chemical_formula_sum 'Pr2 Co1 Ge4 Ir3'
_symmetry_space_group_name_H-M 'P -4 m 2'
_symmetry_Int_Tables_number 115
_cell_length_a 4.269
_cell_length_b 4.269
_cell_length_c 10.138
_cell_angle_alpha 90.00
_cell_angle_beta 90.00
_cell_angle_gamma 90.00
loop_
_symmetry_equiv_pos_as_xyz
'x,y,z'
'y,-x,-z'
'-x,-y,z'
'-y,x,-z'
'-x,y,z'
'-y,-x,-z'
'x,-y,z'
'y,x,-z'
loop_
_atom_site_label
_atom_site_type_symbol
_atom_site_fract_x
_atom_site_fract_y
_atom_site_fract_z
Pr1 Pr 0.000 0.500 0.248
Co1 Co 0.000 0.000 0.500
Ge1 Ge 0.000 0.000 0.000
Ge2 Ge 0.000 0.500 0.626
Ge3 Ge 0.500 0.500 0.000
Ir1 Ir 0.000 0.500 0.871
Ir2 Ir 0.500 0.500 0.500
# DOS(E_F) ... 6.51 states/eV per cell
# Calculated total energy ... -6.86 eV/atom
# Crystal system ... tetragonal
# ΔE_f ... -0.693 eV per atom